1.
# Ac2Zn2Pt3

A relaxed structure of Ac2Zn2Pt3 (PBE-GGA, Alexandria via LeMat-Bulk).

Geometry as extended XYZ:
```
14
Lattice="2.1362 -9.7098 0.0000 2.1362 9.7098 0.0000 0.0000 0.0000 7.6476" Properties=species:S:1:pos:R:3 pbc="T T T"
Ac 2.1362 8.5252 5.7357
Ac 2.1362 6.7134 1.9119
Ac 2.1362 -6.7134 5.7357
Ac 2.1362 -8.5252 1.9119
Zn 2.1362 3.7605 0.4577
Zn 2.1362 3.7605 3.3661
Zn 2.1362 -3.7605 4.2815
Zn 2.1362 -3.7605 7.1898
Pt 2.1362 5.3531 5.7357
Pt 2.1362 1.2775 4.2539
Pt 2.1362 1.2775 7.2174
Pt 2.1362 -1.2775 0.4301
Pt 2.1362 -1.2775 3.3937
Pt 2.1362 -5.3531 1.9119
```

## Properties
The energy above the most stable polymorph in this dataset comes out at 0.000 eV/atom. For the density of states at the Fermi level, the calculation gives 3.1 states/eV/f.u.

---

2.
# Ac3ZnPt8

A relaxed structure of Ac3ZnPt8 (PBE-GGA, Alexandria via LeMat-Bulk).

Geometry as extended XYZ:
```
12
Lattice="2.8022 1.6179 9.1020 -2.8022 1.6179 9.1020 0.0000 -3.2357 9.1020" Properties=species:S:1:pos:R:3 pbc="T T T"
Ac 0.0000 0.0000 0.0000
Ac 0.0000 0.0000 3.5625
Ac 0.0000 0.0000 14.2132
Zn 0.0000 0.0000 17.8688
Pt 0.0000 -1.6004 6.4519
Pt -1.3860 0.8002 6.4519
Pt -1.3953 -0.8056 11.0003
Pt 0.0000 0.0000 8.7037
Pt 1.3860 0.8002 6.4519
Pt 1.3953 -0.8056 11.0003
Pt 0.0000 1.6111 11.0003
Pt 0.0000 0.0000 22.3811
```

## Properties
For the density of states at the Fermi level, the calculation gives 4.7 states/eV/f.u. For the total energy, the calculation gives -6.077 eV/atom.

---

3.
# AcZnPt3

A relaxed structure of AcZnPt3 (PBE-GGA, Alexandria via LeMat-Bulk).

Geometry as extended XYZ:
```
10
Lattice="5.6590 0.0000 0.0000 0.0000 4.4223 0.0000 0.0000 0.0000 8.6373" Properties=species:S:1:pos:R:3 pbc="T T T"
Ac 0.0000 0.0118 0.0000
Ac 2.8295 4.4105 4.3187
Zn 0.0000 2.1943 4.5560
Zn 2.8295 2.2280 0.2374
Pt 0.0000 4.4098 3.0594
Pt 1.3729 2.2228 6.6719
Pt 1.4566 2.1995 2.3532
Pt 2.8295 0.0125 7.3780
Pt 4.2024 2.1995 2.3532
Pt 4.2862 2.2228 6.6719
```

## Properties
The energy above the most stable polymorph in this dataset comes out at 0.014 eV/atom. For the density of states at the Fermi level, the calculation gives 2.3 states/eV/f.u.

---

4.
# Ac2Zn6Pt3

A relaxed structure of Ac2Zn6Pt3 (PBE-GGA, Alexandria via LeMat-Bulk).

Geometry as extended XYZ:
```
11
Lattice="7.9073 0.0000 0.0000 -3.9536 6.8479 0.0000 0.0000 0.0000 4.1638" Properties=species:S:1:pos:R:3 pbc="T T T"
Ac 0.0000 4.5653 0.0000
Ac 3.9537 2.2826 0.0000
Zn -0.7397 1.2811 0.0000
Zn -2.8569 4.9483 2.0819
Zn 1.4793 0.0000 0.0000
Zn 1.0967 1.8996 2.0819
Zn 5.7138 0.0000 2.0819
Zn 3.2140 5.5668 0.0000
Pt -1.5327 2.6548 2.0819
Pt 3.0655 0.0000 2.0819
Pt 2.4209 4.1931 2.0819
```

## Properties
For the density of states at the Fermi level, the calculation gives 4.6 states/eV/f.u. For the total energy, the calculation gives -3.730 eV/atom.

---

5.
# Ac2Zn2Pt15

A relaxed structure of Ac2Zn2Pt15 (PBE-GGA, Alexandria via LeMat-Bulk).

Geometry as extended XYZ:
```
19
Lattice="4.6977 2.7122 4.5056 -4.6977 2.7122 4.5056 0.0000 -5.4244 4.5056" Properties=species:S:1:pos:R:3 pbc="T T T"
Ac 0.0000 0.0000 2.1112
Ac 0.0000 0.0000 11.4056
Zn 0.0000 0.0000 5.4893
Zn 0.0000 0.0000 8.0275
Pt -2.3488 -1.3561 4.5056
Pt 0.0000 -2.6933 4.3723
Pt -2.3325 1.3467 4.3723
Pt -1.4393 -2.4929 6.7584
Pt -2.8786 0.0000 6.7584
Pt -2.3325 -1.3467 9.1446
Pt -2.3488 1.3561 9.0112
Pt 1.4393 -2.4929 6.7584
Pt 0.0000 2.7122 4.5056
Pt -1.4393 2.4929 6.7584
Pt 2.3325 1.3467 4.3723
Pt 2.8786 0.0000 6.7584
Pt 1.4393 2.4929 6.7584
Pt 2.3325 -1.3467 9.1446
Pt 0.0000 2.6933 9.1446
```

## Properties
For the density of states at the Fermi level, the calculation gives 13.6 states/eV/f.u. For the total energy, the calculation gives -5.867 eV/atom.

---

6.
# Ac6ZnPt5

A relaxed structure of Ac6ZnPt5 (PBE-GGA, Alexandria via LeMat-Bulk).

Geometry as extended XYZ:
```
12
Lattice="3.8495 -6.6327 0.0000 3.8495 6.6327 0.0000 -2.5392 0.0000 7.2159" Properties=species:S:1:pos:R:3 pbc="T T T"
Ac -0.0409 2.3109 5.3470
Ac 1.1714 0.0000 1.8360
Ac -0.0409 -2.3109 5.3470
Ac 5.2006 2.3109 1.8689
Ac 3.9883 0.0000 5.3799
Ac 5.2006 -2.3109 1.8689
Zn 3.8495 0.0000 0.0000
Pt -1.2696 0.0000 3.6079
Pt 3.8495 4.4062 0.0000
Pt 2.5798 2.1428 3.6079
Pt 2.5798 -2.1428 3.6079
Pt 3.8495 -4.4062 0.0000
```

## Properties
For the density of states at the Fermi level, the calculation gives 6.0 states/eV/f.u. For the total energy, the calculation gives -5.677 eV/atom.

---

7.
# AcZn4Pt2

A relaxed structure of AcZn4Pt2 (PBE-GGA, Alexandria via LeMat-Bulk).

Geometry as extended XYZ:
```
7
Lattice="2.1177 -7.5102 0.0000 2.1177 7.5102 0.0000 0.0000 0.0000 4.2266" Properties=species:S:1:pos:R:3 pbc="T T T"
Ac 0.0000 0.0000 0.0000
Zn 2.1177 4.5959 2.1133
Zn 2.1177 2.8710 0.0000
Zn 2.1177 -2.8710 0.0000
Zn 2.1177 -4.5959 2.1133
Pt 2.1177 1.3643 2.1133
Pt 2.1177 -1.3643 2.1133
```

## Properties
The energy above the most stable polymorph in this dataset comes out at 0.086 eV/atom. For the density of states at the Fermi level, the calculation gives 2.7 states/eV/f.u.

---

8.
# AcZn9Pt2

A relaxed structure of AcZn9Pt2 (PBE-GGA, Alexandria via LeMat-Bulk).

Geometry as extended XYZ:
```
12
Lattice="8.3608 0.0000 0.0000 -4.1804 7.2407 0.0000 0.0000 0.0000 3.7839" Properties=species:S:1:pos:R:3 pbc="T T T"
Ac 0.0000 0.0000 0.0000
Zn -2.0902 3.6203 0.0000
Zn 0.0000 2.9079 1.8920
Zn -1.6621 5.7868 1.8920
Zn 2.5183 1.4539 1.8920
Zn 4.1804 0.0000 0.0000
Zn 2.0902 3.6203 0.0000
Zn 1.6621 5.7868 1.8920
Zn 5.8426 1.4539 1.8920
Zn 4.1804 4.3328 1.8920
Pt 0.0000 4.8271 0.0000
Pt 4.1804 2.4136 0.0000
```

## Properties
For the density of states at the Fermi level, the calculation gives 5.6 states/eV/f.u. For the total energy, the calculation gives -2.601 eV/atom.

---

9.
# Ac8ZnPt4

A relaxed structure of Ac8ZnPt4 (PBE-GGA, Alexandria via LeMat-Bulk).

Geometry as extended XYZ:
```
13
Lattice="9.7459 -2.2105 0.0000 9.7459 2.2105 0.0000 -9.2347 0.0000 10.5014" Properties=species:S:1:pos:R:3 pbc="T T T"
Ac 0.0000 0.0000 0.0000
Ac -5.1018 0.0000 5.9512
Ac -1.7159 0.0000 3.7280
Ac -2.4310 0.0000 9.0313
Ac 0.9532 0.0000 6.8065
Ac 5.0901 0.0000 2.2563
Ac 4.0494 0.0000 9.6420
Ac 11.2994 0.0000 3.1099
Zn 7.6503 0.0000 6.3775
Pt -7.1711 0.0000 8.1998
Pt 3.0204 0.0000 4.5561
Pt 8.3913 0.0000 1.6225
Pt 16.1947 0.0000 0.6363
```

## Properties
For the density of states at the Fermi level, the calculation gives 13.4 states/eV/f.u. For the total energy, the calculation gives -5.214 eV/atom.

---

10.
# Ac2Zn12Pt5

A relaxed structure of Ac2Zn12Pt5 (PBE-GGA, Alexandria via LeMat-Bulk).

Geometry as extended XYZ:
```
19
Lattice="4.7075 2.7179 4.4047 -4.7075 2.7179 4.4047 0.0000 -5.4358 4.4047" Properties=species:S:1:pos:R:3 pbc="T T T"
Ac 0.0000 0.0000 2.1529
Ac 0.0000 0.0000 11.0613
Zn 0.0000 -2.6628 4.2420
Zn -2.3060 1.3314 4.2420
Zn -1.3207 -2.2874 6.6071
Zn -2.6413 0.0000 6.6071
Zn -2.3060 -1.3314 8.9723
Zn 1.3207 -2.2874 6.6071
Zn -1.3207 2.2874 6.6071
Zn 2.3060 1.3314 4.2420
Zn 2.6413 0.0000 6.6071
Zn 1.3207 2.2874 6.6071
Zn 2.3060 -1.3314 8.9723
Zn 0.0000 2.6628 8.9723
Pt -2.3538 -1.3590 4.4047
Pt 0.0000 0.0000 5.1785
Pt -2.3538 1.3589 8.8095
Pt 0.0000 2.7179 4.4047
Pt 0.0000 0.0000 8.0358
```

## Properties
For the density of states at the Fermi level, the calculation gives 6.8 states/eV/f.u. For the total energy, the calculation gives -3.280 eV/atom.

---

11.
# Ac2Zn2Pt3

A relaxed structure of Ac2Zn2Pt3 (PBE-GGA, Alexandria via LeMat-Bulk).

Geometry as extended XYZ:
```
7
Lattice="5.5851 -2.0614 0.0000 5.5851 2.0614 0.0000 -2.8215 0.0000 6.7276" Properties=species:S:1:pos:R:3 pbc="T T T"
Ac 0.6526 0.0000 1.7584
Ac 7.6961 0.0000 4.9692
Zn -0.3651 0.0000 4.9641
Zn 8.7138 0.0000 1.7635
Pt 4.0471 0.0000 0.4241
Pt 4.1744 0.0000 3.3638
Pt 4.3016 0.0000 6.3035
```

## Properties
The energy above the most stable polymorph in this dataset comes out at 0.161 eV/atom. For the density of states at the Fermi level, the calculation gives 3.7 states/eV/f.u.

---

12.
# Ac2Zn3Pt4

A relaxed structure of Ac2Zn3Pt4 (PBE-GGA, Alexandria via LeMat-Bulk).

Geometry as extended XYZ:
```
18
Lattice="2.9038 -8.0645 0.0000 2.9038 8.0645 0.0000 0.0000 0.0000 7.7774" Properties=species:S:1:pos:R:3 pbc="T T T"
Ac 2.9038 6.2219 7.1313
Ac 2.9038 1.8425 3.2426
Ac 2.9038 -1.8425 4.5348
Ac 2.9038 -6.2219 0.6461
Zn 0.0000 0.0000 3.8887
Zn 1.4519 3.5918 5.8330
Zn 1.4519 -3.5918 1.9443
Zn 2.9038 0.0000 0.0000
Zn 4.3557 3.5918 5.8330
Zn 4.3557 -3.5918 1.9443
Pt 2.9038 5.1159 4.0890
Pt 1.4519 0.9359 5.8330
Pt 1.4519 -0.9359 1.9443
Pt 2.9038 2.9486 0.2003
Pt 2.9038 -2.9486 7.5770
Pt 4.3557 0.9359 5.8330
Pt 4.3557 -0.9359 1.9443
Pt 2.9038 -5.1159 3.6883
```

## Properties
For the density of states at the Fermi level, the calculation gives 3.6 states/eV/f.u. For the total energy, the calculation gives -4.851 eV/atom.

---

| no. | density (g/cm³) |
| --- | --- |
| 1 | 12.248 |
| 2 | 15.473 |
| 3 | 13.485 |
| 4 | 10.544 |
| 5 | 16.927 |
| 6 | 10.828 |
| 7 | 10.854 |
| 8 | 8.741 |
| 9 | 9.769 |
| 10 | 10.874 |
| 11 | 12.542 |
| 12 | 13.043 |